Entry 1:
First-principles (PBE+U) data for a relaxed structure of Na4Cr3CuO8, as listed in Alexandria via LeMat-Bulk.

## Properties
The total magnetic moment is 32.35 Bohr magnetons per cell.

Cell lengths 6.0757, 6.0757, 16.0981 Å; angles 90.00, 90.00, 120.00 degrees
Space group R-3m (No. 166, hexagonal axes)
Symmetry-distinct sites (fractional):
Na  0.0000  0.0000  0.0000 [3 per cell]
Na  0.0000  0.5000  0.0000 [9 per cell]
Cr  0.0000  0.5000  0.5000 [9 per cell]
Cu  0.0000  0.0000  0.5000 [3 per cell]
O  0.0000  0.0000  0.2327 [6 per cell]
O  0.0035  0.5018  0.7668 [18 per cell]

***

Entry 2:
First-principles (PBE+U) data for a relaxed structure of NaCrCuO2, as listed in Alexandria via LeMat-Bulk.

## Properties
The total magnetic moment is 4.84 Bohr magnetons per cell.

Cell lengths 3.967, 3.967, 4.586 Å; angles 90.00, 90.00, 90.00 degrees
Space group P4/mmm (No. 123)
Symmetry-distinct sites (fractional):
Na  0.000  0.000  0.000 [1 per cell]
Cr  0.500  0.500  0.000 [1 per cell]
Cu  0.500  0.500  0.500 [1 per cell]
O  0.000  0.500  0.500 [2 per cell]

***

E_tot values, unit eV per cell, following the record order: -293.77 -22.51.